Material: Fe2HgW
Method: DFT, PBE
State: relaxed

Computed properties:
SG = F-43m
DFT total energy = -27.4 eV per cell
calculated volume = 60.7 Å³ per cell
calculated density = 13.58 g/cm³
DOS(E_F) = 0.91 states/eV/atom

```
Fe2HgW
1.0
0.000 3.118 3.118
3.118 0.000 3.118
3.118 3.118 0.000
Fe Hg W
2 1 1
Direct
0.000 0.000 0.000
0.250 0.250 0.250
0.500 0.500 0.500
0.750 0.750 0.750
```


Material: SrBe2CuHg
Method: DFT, PBE
State: relaxed

Computed properties:
SG = P4/mmm
DFT total energy = -12.1 eV per cell
calculated volume = 99.5 Å³ per cell
calculated density = 6.17 g/cm³
DOS(E_F) = 0.62 states/eV/atom

```
SrBe2CuHg
1.0
4.468 0.000 0.000
0.000 4.468 0.000
0.000 0.000 4.984
Sr Be Cu Hg
1 2 1 1
Direct
0.000 0.000 0.000
0.000 0.500 0.500
0.500 0.000 0.500
0.500 0.500 0.500
0.500 0.500 0.000
```


Material: PmCd17Hg
Method: DFT, PBE
State: relaxed

Computed properties:
SG = R3m
DFT total energy = -21.4 eV per cell
calculated volume = 455.4 Å³ per cell
calculated density = 8.23 g/cm³
DOS(E_F) = 0.35 states/eV/atom

```
PmCd17Hg
1.0
5.096 2.942 5.063
-5.096 2.942 5.063
0.000 -5.884 5.063
Pm Cd Hg
1 17 1
Direct
0.000 0.000 0.000
0.021 0.328 0.626
0.021 0.626 0.328
0.176 0.683 0.683
0.229 0.229 0.229
0.326 0.326 0.822
0.326 0.822 0.326
0.328 0.021 0.626
0.328 0.626 0.021
0.428 0.428 0.428
0.465 0.975 0.975
0.626 0.021 0.328
0.626 0.328 0.021
0.683 0.176 0.683
0.683 0.683 0.176
0.822 0.326 0.326
0.975 0.465 0.975
0.975 0.975 0.465
0.780 0.780 0.780
```


Material: RbNaY2F8
Method: DFT, PBE
State: relaxed

Computed properties:
SG = P2/m
ΔE_f (raw) = -4220 kJ/mol of formula units
calculated volume = 185.7 Å³ per cell
calculated density = 3.92 g/cm³
DOS(E_F) = 0.00 states/eV/atom

```
RbNaY2F8
1.0
6.153 0.000 0.000
0.000 3.895 0.000
-0.019 0.000 7.750
Rb Na Y F
1 1 2 8
Direct
0.000 0.000 0.000
0.000 0.000 0.500
0.499 0.500 0.744
0.501 0.500 0.256
0.283 0.500 0.499
0.292 0.000 0.736
0.295 0.000 0.263
0.302 0.500 0.000
0.698 0.500 0.000
0.705 0.000 0.737
0.708 0.000 0.264
0.717 0.500 0.501
```


Material: Rb2MgI3Cl
Method: DFT, PBE
State: relaxed

Computed properties:
SG = Immm
ΔE_f (raw) = -974 kJ/mol of formula units
calculated volume = 281.3 Å³ per cell
calculated density = 3.61 g/cm³
DOS(E_F) = 0.00 states/eV/atom

```
Rb2MgI3Cl
1.0
-2.536 2.944 9.421
2.536 -2.944 9.421
2.536 2.944 -9.421
Rb Mg I Cl
2 1 3 1
Direct
0.143 0.143 0.000
0.857 0.857 0.000
0.500 0.500 0.000
0.000 0.500 0.500
0.342 0.342 0.000
0.658 0.658 0.000
0.500 0.000 0.500
```


Material: Ba2CdBiSb
Method: DFT, PBE
State: relaxed

Computed properties:
SG = P2_1/m
ΔE_f (raw) = -354 kJ/mol of formula units
calculated volume = 423.6 Å³ per cell
calculated density = 5.63 g/cm³
DOS(E_F) = 0.02 states/eV/atom

```
Ba2CdBiSb
1.0
8.532 0.000 0.000
0.000 4.947 0.000
-2.709 0.000 10.035
Ba Cd Bi Sb
4 2 2 2
Direct
0.182 0.250 0.404
0.237 0.250 0.961
0.763 0.750 0.039
0.818 0.750 0.596
0.498 0.750 0.279
0.502 0.250 0.721
0.297 0.750 0.690
0.703 0.250 0.310
0.166 0.750 0.172
0.834 0.250 0.828
```